Ta2AlW | PBE | optimized geometry

Lattice parameters (Å, degrees): 2.7696 2.7696 8.9106 90.00 90.00 90.00
Closest atoms and distances in Å follow each position.
Fractional positions:
Ta1 0.0000 0.0000 0.2386  4 Ta 2.77, 4 Al 2.89, 4 W 3.04
Ta2 0.0000 0.0000 0.7614  4 Ta 2.77, 4 Al 2.89, 4 W 3.04
Al1 0.5000 0.5000 0.0000  4 Al 2.77, 8 Ta 2.89
W1 0.5000 0.5000 0.5000  4 W 2.77, 8 Ta 3.04

Values from the calculation:
**Symmetry**: P4/mmm, No. 123
**Energy of formation from the pure elements**: 0.016 eV per atom
**Calculated total energy**: -10.084 eV per atom